LiCaOs2Pb | the Alexandria database | PBE | relaxed; calculated volume = 132.4 Å³ per cell; energy of formation = 10.94 eV per formula unit
1.0
4.8654 0.0000 0.0000
0.0000 4.8654 0.0000
0.0000 0.0000 5.5915
Li Ca Os Pb
1 1 2 1
Cartesian
0.0000 0.0000 0.0000
2.4327 2.4327 2.7958
0.0000 2.4327 2.7958
2.4327 0.0000 2.7958
2.4327 2.4327 0.0000